(1)
First-principles (PBEsol) data for MgIn2N2 after structural relaxation, as listed in Alexandria.

Geometry as CIF:
```
data_MgIn2N2
_space_group_name_H-M_alt 'R -3 m'
_space_group_IT_number 166
_space_group_name_Hall '-R 3 2"'
_cell_length_a 3.2969
_cell_length_b 3.2969
_cell_length_c 23.0171
_cell_angle_alpha 90.00
_cell_angle_beta 90.00
_cell_angle_gamma 120.00
loop_
_atom_site_label
_atom_site_type_symbol
_atom_site_fract_x
_atom_site_fract_y
_atom_site_fract_z
Mg1 Mg 0.0000 0.0000 0.0000
In1 In 0.0000 0.0000 0.4394
N1 N 0.0000 0.0000 0.2769
```

Results
- D(E_F): 0.4 states/eV per cell
- Total DFT energy (no corrections): -5.238 eV per atom

---

(2)
First-principles (PBEsol) data for ScBe3Ir after structural relaxation, as listed in Alexandria.

Geometry as CIF:
```
data_ScBe3Ir
_space_group_name_H-M_alt 'P m -3 m'
_space_group_IT_number 221
_space_group_name_Hall '-P 4 2 3'
_cell_length_a 4.166
_cell_length_b 4.166
_cell_length_c 4.166
_cell_angle_alpha 90.00
_cell_angle_beta 90.00
_cell_angle_gamma 90.00
loop_
_atom_site_label
_atom_site_type_symbol
_atom_site_fract_x
_atom_site_fract_y
_atom_site_fract_z
Sc1 Sc 0.000 0.000 0.000
Be1 Be 0.000 0.500 0.500
Ir1 Ir 0.500 0.500 0.500
```

Results
- D(E_F): 2.0 states/eV per cell
- Total DFT energy (no corrections): -5.796 eV per atom

---

Among the records above, which one has the highest total DFT energy (no corrections)? MgIn2N2

---

The lowest D(E_F) belongs to which entry? MgIn2N2

---

Among the records above, which one has the lowest total DFT energy (no corrections)? ScBe3Ir

---

What is the formula in the first record? MgIn2N2